1.
Here is Ac2ZnAsPd6 after structural relaxation from the Alexandria database. Energies are from PBE.

The calculation puts the energy of formation at -718 meV per atom. The calculation puts the calculated total energy at -52.47 eV per cell.

The space group is P-1 (No. 2) and the conventional cell measures 5.615, 6.672 and 6.852 Å, with angles of 77.98, 65.85 and 65.14 degrees. The inequivalent atoms are Ac at (0.245, 0.228, 0.283), Zn at (0.500, 0.500, 0.500), As at (0.000, 0.000, 0.000), Pd at (0.249, 0.759, 0.249), Pd at (0.253, 0.598, 0.895) and Pd at (0.255, 0.242, 0.750).

=====

2.
Here is Cs2CuBiCl6 after structural relaxation from the Alexandria database. Energies are from PBE.

The calculation puts the calculated total energy at -135.36 eV per cell.

The space group is Fm-3m (No. 225) and the conventional cell measures 10.605, 10.605 and 10.605 Å, with angles of 90.00, 90.00 and 90.00 degrees. The inequivalent atoms are Cs at (0.250, 0.250, 0.250), Cu at (0.000, 0.000, 0.000), Bi at (0.000, 0.000, 0.500) and Cl at (0.000, 0.000, 0.241).